An optimized crystal structure of CaTi3Pb, computed with PBE-GGA.

Cell lengths 5.2691, 5.2691, 5.2691 Å; angles 90.00, 90.00, 90.00 degrees
Space group Pm-3m (No. 221)
Inequivalent atoms, fractional coordinates:
1 Ca 0.0000 0.0000 0.0000 (multiplicity 1)
2 Ti 0.0000 0.5000 0.5000 (multiplicity 3)
3 Pb 0.5000 0.5000 0.5000 (multiplicity 1)

## Properties
**Uncorrected energy**: -4.893 eV per atom
**Total magnetization**: 4.21 μB per formula unit
**Theoretical density**: 4.44 Mg/m³